(1)
# K2FeMo, optimized geometry, DFT PBE
data_K2FeMo
_cell_length_a 3.201
_cell_length_b 3.543
_cell_length_c 20.737
_cell_angle_alpha 90.00
_cell_angle_beta 90.00
_cell_angle_gamma 90.00
_symmetry_space_group_name_H-M 'I m m m'
_symmetry_Int_Tables_number 71
_symmetry_space_group_name_Hall '-I 2 2'
loop_
_atom_site_label
_atom_site_fract_x
_atom_site_fract_y
_atom_site_fract_z
K1 0.000 0.000 0.148
Fe1 0.000 0.500 0.500
Mo1 0.000 0.500 0.000
# - formation energy (meV/atom) = 858
# - calculated total energy (eV per cell) = -36.113
# - distance to the lowest polymorph of the same formula (meV/atom) = 4

---

(2)
# LaHoErHg, optimized geometry, DFT PBE
data_LaHoErHg
_cell_length_a 7.769
_cell_length_b 7.769
_cell_length_c 7.769
_cell_angle_alpha 90.00
_cell_angle_beta 90.00
_cell_angle_gamma 90.00
_symmetry_space_group_name_H-M 'F -4 3 m'
_symmetry_Int_Tables_number 216
_symmetry_space_group_name_Hall 'F -4 2 3'
loop_
_atom_site_label
_atom_site_fract_x
_atom_site_fract_y
_atom_site_fract_z
La1 0.000 0.000 0.000
Ho1 0.000 0.000 0.500
Er1 0.250 0.250 0.250
Hg1 0.250 0.250 0.750
# - formation energy (meV/atom) = -70
# - calculated total energy (eV per cell) = -58.604

---

(3)
# La5TbSm4, optimized geometry, DFT PBE
data_La5TbSm4
_cell_length_a 19.092
_cell_length_b 3.682
_cell_length_c 10.415
_cell_angle_alpha 90.00
_cell_angle_beta 105.96
_cell_angle_gamma 90.00
_symmetry_space_group_name_H-M 'C 1 2/m 1'
_symmetry_Int_Tables_number 12
_symmetry_space_group_name_Hall '-C 2y'
loop_
_atom_site_label
_atom_site_fract_x
_atom_site_fract_y
_atom_site_fract_z
La1 0.000 0.000 0.000
La2 0.099 0.500 0.304
La3 0.200 0.000 0.101
Tb1 0.000 0.000 0.500
Sm1 0.100 0.500 0.795
Sm2 0.200 0.000 0.599
# - formation energy (meV/atom) = 17
# - calculated total energy (eV per cell) = -95.943
# - distance to the lowest polymorph of the same formula (meV/atom) = 0

---

(4)
# La2PmPr2Sm, optimized geometry, DFT PBE
data_La2PmPr2Sm
_cell_length_a 7.191
_cell_length_b 5.862
_cell_length_c 10.134
_cell_angle_alpha 90.00
_cell_angle_beta 90.00
_cell_angle_gamma 90.00
_symmetry_space_group_name_H-M 'P m m a'
_symmetry_Int_Tables_number 51
_symmetry_space_group_name_Hall '-P 2a 2a'
loop_
_atom_site_label
_atom_site_fract_x
_atom_site_fract_y
_atom_site_fract_z
La1 0.000 0.000 0.000
La2 0.250 0.500 0.171
Pm1 0.000 0.500 0.500
Pr1 0.250 0.000 0.332
Pr2 0.250 0.500 0.834
Sm1 0.250 0.000 0.663
# - formation energy (meV/atom) = 45
# - calculated total energy (eV per cell) = -57.231

---

What did the second record say?
# LaHoErHg, optimized geometry, DFT PBE
data_LaHoErHg
_cell_length_a 7.769
_cell_length_b 7.769
_cell_length_c 7.769
_cell_angle_alpha 90.00
_cell_angle_beta 90.00
_cell_angle_gamma 90.00
_symmetry_space_group_name_H-M 'F -4 3 m'
_symmetry_Int_Tables_number 216
_symmetry_space_group_name_Hall 'F -4 2 3'
loop_
_atom_site_label
_atom_site_fract_x
_atom_site_fract_y
_atom_site_fract_z
La1 0.000 0.000 0.000
Ho1 0.000 0.000 0.500
Er1 0.250 0.250 0.250
Hg1 0.250 0.250 0.750
# - formation energy (meV/atom) = -70
# - calculated total energy (eV per cell) = -58.604

---

Which value of calculated total energy does entry 4 give? -57.231 eV per cell